1.
KMo3P5 | GGA-PBE | relaxed

Cell lengths 5.308, 5.308, 8.160 Å; angles 90.00, 90.00, 120.00 degrees
Fractional positions:
K  0.000  0.000  0.000
Mo  0.500  0.000  0.500
Mo  0.000  0.500  0.500
Mo  0.500  0.500  0.500
P  0.667  0.333  0.255
P  0.333  0.667  0.255
P  0.000  0.000  0.500
P  0.667  0.333  0.745
P  0.333  0.667  0.745

Summary:
E, eV/atom: -6.7944
Crystal system: hexagonal


2.
TaCuOsPb | GGA-PBE | relaxed

Cell lengths 4.581, 4.581, 4.581 Å; angles 60.00, 60.00, 60.00 degrees
Fractional positions:
Cu  0.750  0.750  0.750
Os  0.250  0.250  0.250
Pb  0.500  0.500  0.500
Ta  0.000  0.000  0.000

Summary:
Polymorph energy (0 for the lowest one), meV per atom: 0
Crystal system: cubic


3.
BeNi | GGA-PBE | relaxed

Cell lengths 2.602, 2.602, 2.602 Å; angles 90.00, 90.00, 90.00 degrees
Fractional positions:
Be  0.000  0.000  0.000
Ni  0.500  0.500  0.500

Summary:
E, eV/atom: -5.1310
Crystal system: cubic